Entry 1:
The following is a DFT calculation (SCAN) of ZrMnTc2 at its PBEsol-relaxed geometry.

Cell and atoms, written as extended XYZ:
```
4
Lattice="-0.417 -1.491 2.285 -2.153 -2.917 -2.297 4.459 -1.974 -1.674" Properties=species:S:1:pos:R:3 pbc="T T T"
Zr 2.042 -1.759 0.320
Tc 0.018 -0.033 0.025
Tc -0.380 -3.027 0.190
Mn 2.231 -3.296 -1.915
```

Values from the calculation:
* space-group type: Pm
* E: -2.193 Ry per atom
* energy relative to the elements: -70 meV per atom

***

Entry 2:
The following is a DFT calculation (SCAN) of ZrMnTc2 at its PBEsol-relaxed geometry.

Cell and atoms, written as extended XYZ:
```
4
Lattice="3.167 0.000 0.000 0.000 4.352 0.000 0.000 0.000 4.352" Properties=species:S:1:pos:R:3 pbc="T T T"
Mn 1.584 0.000 0.000
Tc 0.000 2.176 0.000
Tc 0.000 0.000 2.176
Zr 1.584 2.176 2.176
```

Values from the calculation:
* space-group type: P4/mmm
* E: -2.202 Ry per atom
* energy relative to the elements: -194 meV per atom

***

Entry 3:
The following is a DFT calculation (SCAN) of ZrMn4Tc at its PBEsol-relaxed geometry.

Cell and atoms, written as extended XYZ:
```
6
Lattice="-0.278 -2.555 3.987 3.044 -3.560 0.753 3.360 0.415 3.323" Properties=species:S:1:pos:R:3 pbc="T T T"
Mn 2.287 -2.128 3.010
Mn 2.146 -3.423 5.031
Mn 3.829 -3.932 3.392
Mn 3.990 -1.917 4.694
Tc 4.594 -4.275 6.048
Zr 0.000 0.000 0.000
```

Values from the calculation:
* space-group type: F-43m
* E: -1.699 Ry per atom
* energy relative to the elements: 19 meV per atom

***

Q: What is the formula in the second record?
A: ZrMnTc2